[1]
An optimized crystal structure of Mg3Ag2Pd2, computed with GGA-PBE.

Cell: 4.3840 4.6228 7.0451 Å, 105.67 90.10 118.21°
Last column: nearest neighbours and their distance in Å.
Space group P-1 (No. 2)
Unique sites:
Mg  0.0000  0.0000  0.0000 (multiplicity 1)  6 Pd 2.77-2.83, 2 Ag 2.84, 2 Mg 3.09
Mg  0.4160  0.8321  0.2663 (multiplicity 2)  4 Pd 2.73-2.80, 3 Ag 2.79-2.85
Ag  0.1397  0.2799  0.4228 (multiplicity 2)  4 Mg 2.79-2.85, 3 Ag 2.81-2.83, 1 Pd 2.95
Pd  0.2910  0.5805  0.8602 (multiplicity 2)  7 Mg 2.73-2.83, 1 Ag 2.95

Properties
density = 6.955 g cm⁻³
energy of formation from the pure elements = -3.25 eV/f.u.
D(E_F) = 1.536 states/eV/f.u.

[2]
An optimized crystal structure of Tb6Nd2Y3In, computed with GGA-PBE.

Cell: 6.1326 10.6294 11.7781 Å, 90.00 100.02 90.00°
Last column: nearest neighbours and their distance in Å.
Space group C2/m (No. 12)
Unique sites:
Tb  0.2436  0.0000  0.2500 (multiplicity 4)  6 Tb 3.47-3.58, 1 In 3.53, 3 Y 3.54-3.57, 2 Nd 3.56
Tb  0.2464  0.1634  0.7492 (multiplicity 8)  6 Tb 3.47-3.58, 1 In 3.52, 3 Y 3.54-3.58, 2 Nd 3.55
Nd  0.0000  0.3337  0.5000 (multiplicity 4)  3 Nd 3.54-3.55, 3 In 3.54-3.55, 6 Tb 3.55-3.56
Y  0.0000  0.1666  0.0000 (multiplicity 4)  6 Tb 3.54-3.58, 6 Y 3.54
Y  0.0000  0.5000  0.0000 (multiplicity 2)  6 Y 3.54, 6 Tb 3.54-3.57
In  0.0000  0.0000  0.5000 (multiplicity 2)  6 Tb 3.52-3.53, 6 Nd 3.54-3.55

Properties
density = 7.132 g cm⁻³
energy of formation from the pure elements = -0.63 eV/f.u.
D(E_F) = 15.992 states/eV/f.u.

[3]
An optimized crystal structure of TiSi2Ag2, computed with GGA-PBE.

Cell: 7.3730 7.3730 3.0725 Å, 90.00 90.00 90.00°
Last column: nearest neighbours and their distance in Å.
Space group P4/mbm (No. 127)
Unique sites:
Ti  0.0000  0.0000  0.0000 (multiplicity 2)  4 Si 2.76, 2 Ti 3.07
Si  0.1631  0.3369  0.0000 (multiplicity 4)  6 Ag 2.58-2.71, 2 Ti 2.76
Ag  0.1385  0.6385  0.5000 (multiplicity 4)  6 Si 2.58-2.71

Properties
density = 6.358 g cm⁻³
energy relative to the elements, uncorrected = 0.177 eV/atom
D(E_F) = 2.106 states/eV/f.u.

[4]
An optimized crystal structure of BaNaPb2, computed with GGA-PBE.

Cell: 5.3555 5.3555 17.8508 Å, 90.00 90.00 120.00°
Last column: nearest neighbours and their distance in Å.
Space group R-3m (No. 166, hexagonal axes)
Unique sites:
Ba  0.0000  0.0000  0.0000 (multiplicity 3)  8 Pb 3.77-3.78
Na  0.0000  0.0000  0.5000 (multiplicity 3)  6 Pb 3.19
Pb  0.0000  0.0000  0.2111 (multiplicity 6)  3 Na 3.19, 3 Pb 3.47

Properties
density = 6.457 g cm⁻³
energy of formation from the pure elements = -1.24 eV/f.u.
D(E_F) = 3.243 states/eV/f.u.

[5]
An optimized crystal structure of Rb2Sc2Sb2S, computed with GGA-PBE.

Cell: 4.9580 4.9580 18.5792 Å, 90.00 90.00 90.00°
Last column: nearest neighbours and their distance in Å.
Space group I4/mmm (No. 139)
Unique sites:
Rb  0.0000  0.0000  0.1800 (multiplicity 4)  1 S 3.34
Sc  0.0000  0.5000  0.0000 (multiplicity 4)  2 S 2.48
Sb  0.0000  0.0000  0.3969 (multiplicity 4)  4 Sc 3.13
S  0.0000  0.0000  0.0000 (multiplicity 2)  4 Sc 2.48

Properties
density = 3.901 g cm⁻³
energy relative to the elements, uncorrected = -1.032 eV/atom
D(E_F) = 2.148 states/eV/f.u.

[6]
An optimized crystal structure of SrTcO3, computed with GGA-PBE.

Cell: 4.2156 4.2156 18.4410 Å, 90.00 90.00 90.00°
Last column: nearest neighbours and their distance in Å.
Space group I-4m2 (No. 119)
Unique sites:
Sr  0.0000  0.0000  0.0000 (multiplicity 2)  4 O 2.36
Sr  0.0000  0.5000  0.2500 (multiplicity 2)  4 O 2.42
Tc  0.0000  0.5000  0.6906 (multiplicity 4)  2 O 2.11, 1 Tc 2.19
O  0.0000  0.0000  0.3148 (multiplicity 4)  2 Tc 2.11
O  0.0000  0.3312  0.1029 (multiplicity 8)  1 O 1.42

Properties
density = 4.735 g cm⁻³
energy relative to the elements, uncorrected = -0.702 eV/atom
D(E_F) = 2.697 states/eV/f.u.

[7]
An optimized crystal structure of Pm6Nd2Tl, computed with GGA-PBE.

Cell: 6.4874 8.7908 11.6569 Å, 80.82 77.03 69.81°
Last column: nearest neighbours and their distance in Å.
Space group P-1 (No. 2)
Unique sites:
Pm  0.0282  0.0529  0.1335 (multiplicity 2)  1 Tl 3.35, 5 Pm 3.52-3.72, 3 Nd 3.57-3.72
Pm  0.1839  0.2547  0.3235 (multiplicity 2)  8 Pm 3.44-3.79, 2 Nd 3.49-3.67, 1 Tl 3.85
Pm  0.2616  0.4405  0.5409 (multiplicity 2)  2 Tl 3.24-3.32, 7 Pm 3.44-3.62
Pm  0.2721  0.9090  0.5599 (multiplicity 2)  2 Tl 3.30-3.49, 4 Pm 3.62-3.68
Pm  0.3972  0.5528  0.7822 (multiplicity 2)  6 Pm 3.50-3.92, 4 Nd 3.56-3.78, 1 Tl 3.59
Pm  0.4513  0.1233  0.7519 (multiplicity 2)  1 Tl 3.30, 4 Pm 3.46-3.68, 3 Nd 3.55-3.57
Nd  0.0685  0.6128  0.1078 (multiplicity 2)  1 Tl 3.36, 5 Pm 3.57-3.72, 2 Nd 3.65-3.70
Nd  0.4745  0.2192  0.0327 (multiplicity 2)  8 Pm 3.49-3.78, 2 Nd 3.65-3.70
Tl  0.1116  0.7507  0.3511 (multiplicity 2)  7 Pm 3.24-3.59, 1 Nd 3.36

Properties
density = 7.474 g cm⁻³
energy of formation from the pure elements = -0.39 eV/f.u.
energy relative to the lowest polymorph listed for this composition = 0 meV/atom
D(E_F) = 11.688 states/eV/f.u.

[8]
An optimized crystal structure of LaZn3P3, computed with GGA-PBE.

Cell: 4.0772 4.0772 20.2062 Å, 90.00 90.00 120.00°
Last column: nearest neighbours and their distance in Å.
Space group P6_3/mmc (No. 194)
Unique sites:
La  0.0000  0.0000  0.0000 (multiplicity 2)  6 P 2.96
Zn  0.3333  0.6667  0.1303 (multiplicity 4)  4 P 2.42-2.50
Zn  0.3333  0.6667  0.7500 (multiplicity 2)  3 P 2.35
P  0.3333  0.6667  0.2500 (multiplicity 2)  5 Zn 2.35-2.42
P  0.3333  0.6667  0.5887 (multiplicity 4)  3 Zn 2.50

Properties
density = 4.887 g cm⁻³
energy of formation from the pure elements = -4.34 eV/f.u.
energy relative to the lowest polymorph listed for this composition = 0 meV/atom
D(E_F) = 0.138 states/eV/f.u.